(a)
Entry from Alexandria: In2NiBr after structural relaxation (PBE).

Lattice parameters (Å, degrees): 4.331 4.331 9.776 90.00 90.00 90.00
Space group I4/mmm (No. 139)
Asymmetric unit:
1 In 0.000 0.500 0.250 x4
2 Ni 0.000 0.000 0.000 x2
3 Br 0.000 0.000 0.500 x2

Calculated values
Density of states at the Fermi level (states/eV per cell): 8.1



(b)
Entry from Alexandria: In2NiBr after structural relaxation (PBE).

Lattice parameters (Å, degrees): 15.660 3.422 3.628 90.00 90.06 90.00
Space group Cm (No. 8)
Asymmetric unit:
1 In 0.000 0.000 0.000 x2
2 In 0.188 0.000 0.504 x2
3 Ni 0.058 0.500 0.501 x2
4 Br 0.317 0.500 0.002 x2

Calculated values
Density of states at the Fermi level (states/eV per cell): 4.8



Preferred: (b); penalty for the next structure: 42.5 kJ/mol of atoms.



(a)
Entry from Alexandria: In2NiBr after structural relaxation (PBE).

Lattice parameters (Å, degrees): 3.359 3.359 8.048 90.00 90.00 90.00
Space group P4mm (No. 99)
Asymmetric unit:
1 In 0.000 0.000 0.000 x1
2 In 0.500 0.500 0.310 x1
3 Ni 0.000 0.000 0.467 x1
4 Br 0.500 0.500 0.682 x1

Calculated values
Density of states at the Fermi level (states/eV per cell): 1.0



(b)
Entry from Alexandria: In2NiBr after structural relaxation (PBE).

Lattice parameters (Å, degrees): 7.212 7.212 7.212 90.00 90.00 90.00
Space group F-43m (No. 216)
Asymmetric unit:
1 In 0.000 0.000 0.000 x4
2 In 0.250 0.250 0.250 x4
3 Ni 0.250 0.250 0.750 x4
4 Br 0.000 0.000 0.500 x4

Calculated values
Density of states at the Fermi level (states/eV per cell): 16.0



Preferred: (a); penalty for the next structure: 32.1 kJ/mol of atoms.



(a)
Entry from Alexandria: In3NiBr after structural relaxation (PBE).

Lattice parameters (Å, degrees): 5.056 5.056 5.056 90.00 90.00 90.00
Space group Pm-3m (No. 221)
Asymmetric unit:
1 In 0.000 0.000 0.500 x3
2 Ni 0.000 0.000 0.000 x1
3 Br 0.500 0.500 0.500 x1

Calculated values
Density of states at the Fermi level (states/eV per cell): 0.3



(b)
Entry from Alexandria: In3NiBr after structural relaxation (PBE).

Lattice parameters (Å, degrees): 5.919 5.919 5.919 90.00 90.00 90.00
Space group Pm-3m (No. 221)
Asymmetric unit:
1 In 0.000 0.000 0.500 x3
2 Ni 0.500 0.500 0.500 x1
3 Br 0.000 0.000 0.000 x1

Calculated values
Density of states at the Fermi level (states/eV per cell): 6.6



Preferred: (a); penalty for the next structure: 112.5 kJ/mol of atoms.



(a)
Entry from Alexandria: InNiBr2 after structural relaxation (PBE).

Lattice parameters (Å, degrees): 3.520 7.834 9.198 90.00 90.00 90.00
Space group Imm2 (No. 44)
Asymmetric unit:
1 In 0.000 0.000 0.000 x2
2 Ni 0.000 0.500 0.720 x2
3 Br 0.000 0.000 0.391 x2
4 Br 0.000 0.500 0.270 x2

Calculated values
Density of states at the Fermi level (states/eV per cell): 11.6



(b)
Entry from Alexandria: InNiBr2 after structural relaxation (PBE).

Lattice parameters (Å, degrees): 5.226 5.226 3.617 90.00 90.00 90.00
Space group P4/mmm (No. 123)
Asymmetric unit:
1 In 0.000 0.000 0.000 x1
2 Ni 0.500 0.500 0.000 x1
3 Br 0.000 0.500 0.500 x2

Calculated values
Density of states at the Fermi level (states/eV per cell): 6.5



(c)
Entry from Alexandria: InNiBr2 after structural relaxation (PBE).

Lattice parameters (Å, degrees): 3.551 5.922 10.151 90.00 90.00 90.00
Space group Immm (No. 71)
Asymmetric unit:
1 In 0.000 0.000 0.000 x2
2 Ni 0.000 0.000 0.500 x2
3 Br 0.000 0.500 0.165 x4

Calculated values
Density of states at the Fermi level (states/eV per cell): 4.0



Preferred: (c); penalty for the next structure: 13.5 kJ/mol of atoms.



(a)
Entry from Alexandria: InNiBr2 after structural relaxation (PBE).

Lattice parameters (Å, degrees): 7.335 7.335 7.335 90.00 90.00 90.00
Space group Fm-3m (No. 225)
Asymmetric unit:
1 In 0.000 0.000 0.000 x4
2 Ni 0.000 0.000 0.500 x4
3 Br 0.250 0.250 0.250 x8

Calculated values
Density of states at the Fermi level (states/eV per cell): 53.5



(b)
Entry from Alexandria: InNiBr2 after structural relaxation (PBE).

Lattice parameters (Å, degrees): 7.779 8.090 3.854 90.00 116.36 90.00
Space group C2/m (No. 12)
Asymmetric unit:
1 In 0.000 0.000 0.000 x2
2 Ni 0.000 0.500 0.000 x2
3 Br 0.250 0.250 0.500 x4

Calculated values
Density of states at the Fermi level (states/eV per cell): 11.5



Preferred: (b); penalty for the next structure: 4.0 kJ/mol of atoms.



(a)
Entry from Alexandria: InNiBr2 after structural relaxation (PBE).

Lattice parameters (Å, degrees): 4.006 4.151 6.555 90.00 90.00 90.00
Space group Pmmm (No. 47)
Asymmetric unit:
1 In 0.000 0.000 0.000 x1
2 Ni 0.500 0.000 0.500 x1
3 Br 0.000 0.500 0.500 x1
4 Br 0.500 0.500 0.000 x1

Calculated values
Density of states at the Fermi level (states/eV per cell): 6.4



(b)
Entry from Alexandria: InNiBr2 after structural relaxation (PBE).

Lattice parameters (Å, degrees): 5.408 3.644 6.381 90.00 112.91 90.00
Space group P2/m (No. 10)
Asymmetric unit:
1 In 0.000 0.000 0.000 x1
2 Ni 0.500 0.000 0.000 x1
3 Br 0.353 0.500 0.715 x2

Calculated values
Density of states at the Fermi level (states/eV per cell): 0.4



(c)
Entry from Alexandria: InNiBr2 after structural relaxation (PBE).

Lattice parameters (Å, degrees): 3.7025 3.7025 25.3954 90.00 90.00 120.00
Space group R-3m (No. 166, hexagonal axes)
Asymmetric unit:
1 In 0.0000 0.0000 0.0000 x3
2 Ni 0.0000 0.0000 0.5000 x3
3 Br 0.0000 0.0000 0.2231 x6

Calculated values
Density of states at the Fermi level (states/eV per cell): 8.7



(d)
Entry from Alexandria: InNiBr2 after structural relaxation (PBE).

Lattice parameters (Å, degrees): 3.592 6.903 8.858 90.00 90.00 90.00
Space group Cmmm (No. 65)
Asymmetric unit:
1 In 0.000 0.000 0.000 x2
2 Ni 0.000 0.000 0.500 x2
3 Br 0.000 0.500 0.312 x4

Calculated values
Density of states at the Fermi level (states/eV per cell): 8.8



Preferred: (b); penalty for the next structure: 7.7 kJ/mol of atoms.



(a)
Entry from Alexandria: InNi3Br after structural relaxation (PBE).

Lattice parameters (Å, degrees): 4.457 4.457 4.457 90.00 90.00 90.00
Space group Pm-3m (No. 221)
Asymmetric unit:
1 In 0.000 0.000 0.000 x1
2 Ni 0.000 0.500 0.500 x3
3 Br 0.500 0.500 0.500 x1

Calculated values
Density of states at the Fermi level (states/eV per cell): 3.0



(b)
Entry from Alexandria: InNi3Br after structural relaxation (PBE).

Lattice parameters (Å, degrees): 4.786 4.786 4.786 90.00 90.00 90.00
Space group Pm-3m (No. 221)
Asymmetric unit:
1 In 0.000 0.000 0.000 x1
2 Ni 0.000 0.000 0.500 x3
3 Br 0.500 0.500 0.500 x1

Calculated values
Density of states at the Fermi level (states/eV per cell): 10.1



Preferred: (a); penalty for the next structure: 44.8 kJ/mol of atoms.



(a)
Entry from Alexandria: InNiSeBr2 after structural relaxation (PBE).

Lattice parameters (Å, degrees): 5.432 5.432 5.402 90.00 90.00 90.00
Space group P4/mmm (No. 123)
Asymmetric unit:
1 In 0.000 0.000 0.000 x1
2 Ni 0.500 0.500 0.500 x1
3 Se 0.000 0.000 0.500 x1
4 Br 0.000 0.500 0.000 x2

Calculated values
Density of states at the Fermi level (states/eV per cell): 5.0



(b)
Entry from Alexandria: InNiSeBr2 after structural relaxation (PBE).

Lattice parameters (Å, degrees): 5.207 5.207 4.639 90.00 90.00 90.00
Space group P4/mmm (No. 123)
Asymmetric unit:
1 In 0.000 0.000 0.000 x1
2 Ni 0.500 0.500 0.500 x1
3 Se 0.500 0.500 0.000 x1
4 Br 0.000 0.500 0.500 x2

Calculated values
Density of states at the Fermi level (states/eV per cell): 3.7



Preferred: (b); penalty for the next structure: 57.1 kJ/mol of atoms.



(a)
Entry from Alexandria: In3BrO after structural relaxation (PBE).

Lattice parameters (Å, degrees): 6.000 6.000 6.000 90.00 90.00 90.00
Space group Pm-3m (No. 221)
Asymmetric unit:
1 In 0.000 0.000 0.500 x3
2 Br 0.000 0.000 0.000 x1
3 O 0.500 0.500 0.500 x1

Calculated values
Density of states at the Fermi level (states/eV per cell): 7.0



(b)
Entry from Alexandria: In3BrO after structural relaxation (PBE).

Lattice parameters (Å, degrees): 5.132 5.132 5.132 90.00 90.00 90.00
Space group Pm-3m (No. 221)
Asymmetric unit:
1 In 0.000 0.000 0.500 x3
2 Br 0.500 0.500 0.500 x1
3 O 0.000 0.000 0.000 x1

Calculated values
Density of states at the Fermi level (states/eV per cell): 0.2



Preferred: (b); penalty for the next structure: 90.3 kJ/mol of atoms.



(a)
Entry from Alexandria: InP2BrO after structural relaxation (PBE).

Lattice parameters (Å, degrees): 4.936 4.936 3.991 90.00 90.00 90.00
Space group P4/mmm (No. 123)
Asymmetric unit:
1 In 0.000 0.000 0.000 x1
2 P 0.000 0.500 0.500 x2
3 Br 0.500 0.500 0.500 x1
4 O 0.500 0.500 0.000 x1

Calculated values
Density of states at the Fermi level (states/eV per cell): 3.7



(b)
Entry from Alexandria: InP2BrO after structural relaxation (PBE).

Lattice parameters (Å, degrees): 5.242 5.242 4.018 90.00 90.00 90.00
Space group P4/mmm (No. 123)
Asymmetric unit:
1 In 0.000 0.000 0.000 x1
2 P 0.000 0.500 0.000 x2
3 Br 0.500 0.500 0.500 x1
4 O 0.000 0.000 0.500 x1

Calculated values
Density of states at the Fermi level (states/eV per cell): 4.7



Preferred: (b); penalty for the next structure: 21.8 kJ/mol of atoms.



(a)
Entry from Alexandria: In2OsBr after structural relaxation (PBE).

Lattice parameters (Å, degrees): 4.389 4.389 8.519 90.00 90.00 90.00
Space group I4/mmm (No. 139)
Asymmetric unit:
1 In 0.000 0.500 0.250 x4
2 Os 0.000 0.000 0.000 x2
3 Br 0.000 0.000 0.500 x2

Calculated values
Density of states at the Fermi level (states/eV per cell): 5.8



(b)
Entry from Alexandria: In2OsBr after structural relaxation (PBE).

Lattice parameters (Å, degrees): 3.144 5.089 5.301 90.00 90.00 90.00
Space group Pmmm (No. 47)
Asymmetric unit:
1 In 0.000 0.000 0.000 x1
2 In 0.500 0.000 0.500 x1
3 Os 0.000 0.500 0.500 x1
4 Br 0.500 0.500 0.000 x1

Calculated values
Density of states at the Fermi level (states/eV per cell): 3.1



Preferred: (a); penalty for the next structure: 6.4 kJ/mol of atoms.



(a)
Entry from Alexandria: In2OsBr after structural relaxation (PBE).

Lattice parameters (Å, degrees): 3.428 4.091 7.780 90.00 90.00 90.00
Space group Pmm2 (No. 25)
Asymmetric unit:
1 In 0.000 0.000 0.000 x1
2 In 0.500 0.500 0.361 x1
3 Os 0.000 0.000 0.329 x1
4 Br 0.500 0.500 0.812 x1

Calculated values
Density of states at the Fermi level (states/eV per cell): 3.5



(b)
Entry from Alexandria: In2OsBr after structural relaxation (PBE).

Lattice parameters (Å, degrees): 4.407 4.407 8.606 90.00 90.00 90.00
Space group I-4m2 (No. 119)
Asymmetric unit:
1 In 0.000 0.000 0.000 x2
2 In 0.000 0.500 0.250 x2
3 Os 0.000 0.500 0.750 x2
4 Br 0.000 0.000 0.500 x2

Calculated values
Density of states at the Fermi level (states/eV per cell): 4.4



Preferred: (a); penalty for the next structure: 42.6 kJ/mol of atoms.



(a)
Entry from Alexandria: In2OsBr after structural relaxation (PBE).

Lattice parameters (Å, degrees): 6.929 6.929 6.929 90.00 90.00 90.00
Space group F-43m (No. 216)
Asymmetric unit:
1 In 0.000 0.000 0.000 x4
2 In 0.250 0.250 0.250 x4
3 Os 0.000 0.000 0.500 x4
4 Br 0.250 0.250 0.750 x4

Calculated values
Density of states at the Fermi level (states/eV per cell): 9.4



(b)
Entry from Alexandria: In2OsBr after structural relaxation (PBE).

Lattice parameters (Å, degrees): 3.4444 3.4444 25.6239 90.00 90.00 120.00
Space group R-3m (No. 166, hexagonal axes)
Asymmetric unit:
1 In 0.0000 0.0000 0.2401 x6
2 Os 0.0000 0.0000 0.5000 x3
3 Br 0.0000 0.0000 0.0000 x3

Calculated values
Density of states at the Fermi level (states/eV per cell): 5.1



Preferred: (b); penalty for the next structure: 54.9 kJ/mol of atoms.